# 1
First-principles (PBE-GGA) data for a relaxed structure of K3Th2HgTe6, as listed in Alexandria via LeMat-Bulk.

Results
density	5.5	Mg/m³
M_tot	0.00	Bohr magnetons per cell
raw formation energy	-1.0267	eV/atom

abc: 4.5634 9.8655 10.8394
angles: 102.66 102.15 90.00
Atoms (fractional coordinates):
K 0.8497 0.1590 0.6995
Te 0.3251 0.4372 0.6502
Th 0.1673 0.3301 0.3345
Te 0.6796 0.1244 0.3591
K 0.5000 0.5000 0.0000
Te 0.0209 0.2395 0.0418
Te 0.9791 0.7605 0.9582
Th 0.8327 0.6699 0.6655
Te 0.6749 0.5628 0.3498
K 0.1503 0.8410 0.3005
Hg 0.5000 0.0000 0.0000
Te 0.3204 0.8756 0.6409

# 2
First-principles (PBE-GGA) data for a relaxed structure of KTiHgTe2, as listed in Alexandria via LeMat-Bulk.

Results
density	5.6	Mg/m³
M_tot	0.00	Bohr magnetons per cell
raw formation energy	-0.5227	eV/atom

abc: 5.4387 5.4387 5.4872
angles: 90.00 90.00 90.00
Atoms (fractional coordinates):
Te 0.0000 0.5000 0.0000
Ti 0.0000 0.0000 0.0000
Te 0.5000 0.0000 0.0000
Hg 0.0000 0.0000 0.5000
K 0.5000 0.5000 0.5000

# 3
First-principles (PBE-GGA) data for a relaxed structure of KTlHg2Te, as listed in Alexandria via LeMat-Bulk.

Results
density	6.0	Mg/m³
M_tot	0.00	Bohr magnetons per cell
raw formation energy	-0.2086	eV/atom

abc: 5.8541 5.8541 6.2103
angles: 90.00 90.00 90.00
Atoms (fractional coordinates):
Hg 0.0000 0.5000 0.0000
Tl 0.0000 0.0000 0.0000
Hg 0.5000 0.0000 0.0000
K 0.5000 0.5000 0.5000
Te 0.0000 0.0000 0.5000

# 4
First-principles (PBE-GGA) data for a relaxed structure of KTlHgTe2, as listed in Alexandria via LeMat-Bulk.

Results
density	5.6	Mg/m³
M_tot	0.00	Bohr magnetons per cell
raw formation energy	-0.4566	eV/atom

abc: 6.0954 7.8070 8.7351
angles: 92.09 90.00 90.00
Atoms (fractional coordinates):
K 0.2271 0.5000 0.7500
Te 0.7617 0.7310 0.9001
K 0.7729 0.5000 0.2500
Tl 0.5696 0.0000 0.2500
Hg 0.0000 0.0000 0.0000
Hg 0.0000 0.0000 0.5000
Te 0.7617 0.2690 0.5999
Tl 0.4304 0.0000 0.7500
Te 0.2383 0.2690 0.0999
Te 0.2383 0.7310 0.4001